--- w ---
VASP calculation (GGA-PBE) on a geometry-optimized Rb2LiBiCl6 structure.

Cell and atoms, written as CIF:
```
data_Rb2LiBiCl6
_cell_length_a 10.6223
_cell_length_b 10.6223
_cell_length_c 10.6223
_cell_angle_alpha 90.00
_cell_angle_beta 90.00
_cell_angle_gamma 90.00
_symmetry_space_group_name_H-M 'F m -3 m'
_symmetry_Int_Tables_number 225
_symmetry_space_group_name_Hall '-F 4 2 3'
loop_
_atom_site_label
_atom_site_fract_x
_atom_site_fract_y
_atom_site_fract_z
Rb1 0.2500 0.2500 0.2500
Li1 0.0000 0.0000 0.0000
Bi1 0.0000 0.0000 0.5000
Cl1 0.0000 0.0000 0.2444
```

Values from the calculation:
- Volume: 30.0 Å³/atom

---

--- x ---
VASP calculation (GGA-PBE) on a geometry-optimized Rb2LiBiCl6 structure.

Cell and atoms, written as CIF:
```
data_Rb2LiBiCl6
_cell_length_a 7.4558
_cell_length_b 7.5452
_cell_length_c 12.9259
_cell_angle_alpha 90.00
_cell_angle_beta 125.09
_cell_angle_gamma 90.00
_symmetry_space_group_name_H-M 'P 1 21/c 1'
_symmetry_Int_Tables_number 14
loop_
_symmetry_equiv_pos_as_xyz
'x,y,z'
'-x,-y,-z'
'-x,y+1/2,-z+1/2'
'x,-y+1/2,z+1/2'
loop_
_atom_site_label
_atom_site_fract_x
_atom_site_fract_y
_atom_site_fract_z
Rb1 0.2400 0.0416 0.2491
Li1 0.0000 0.0000 0.5000
Bi1 0.5000 0.0000 0.0000
Cl1 0.1788 0.2171 0.9688
Cl2 0.2542 0.7104 0.9706
Cl3 0.3034 0.0079 0.7451
```

Values from the calculation:
- Volume: 29.7 Å³/atom

---

The structure with the most favorable energy is x; the runner-up is 0.008 eV/atom above it.

---

--- w ---
VASP calculation (GGA-PBE) on a geometry-optimized MgBiCl2 structure.

Cell and atoms, written as CIF:
```
data_MgBiCl2
_cell_length_a 3.5497
_cell_length_b 3.5497
_cell_length_c 28.9573
_cell_angle_alpha 90.00
_cell_angle_beta 90.00
_cell_angle_gamma 120.00
_symmetry_space_group_name_H-M 'R -3 m'
_symmetry_Int_Tables_number 166
_symmetry_space_group_name_Hall '-R 3 2"'
loop_
_atom_site_label
_atom_site_fract_x
_atom_site_fract_y
_atom_site_fract_z
Mg1 0.0000 0.0000 0.0000
Bi1 0.0000 0.0000 0.5000
Cl1 0.0000 0.0000 0.0834
```

Values from the calculation:
- Volume: 26.3 Å³/atom

---

--- x ---
VASP calculation (GGA-PBE) on a geometry-optimized MgBiCl2 structure.

Cell and atoms, written as CIF:
```
data_MgBiCl2
_cell_length_a 3.5028
_cell_length_b 3.5028
_cell_length_c 37.2948
_cell_angle_alpha 90.00
_cell_angle_beta 90.00
_cell_angle_gamma 120.00
_symmetry_space_group_name_H-M 'R -3 m'
_symmetry_Int_Tables_number 166
_symmetry_space_group_name_Hall '-R 3 2"'
loop_
_atom_site_label
_atom_site_fract_x
_atom_site_fract_y
_atom_site_fract_z
Mg1 0.0000 0.0000 0.0000
Bi1 0.0000 0.0000 0.5000
Cl1 0.0000 0.0000 0.3718
```

Values from the calculation:
- Volume: 33.0 Å³/atom

---

--- y ---
VASP calculation (GGA-PBE) on a geometry-optimized MgBiCl2 structure.

Cell and atoms, written as CIF:
```
data_MgBiCl2
_cell_length_a 7.3568
_cell_length_b 7.3568
_cell_length_c 7.3568
_cell_angle_alpha 90.00
_cell_angle_beta 90.00
_cell_angle_gamma 90.00
_symmetry_space_group_name_H-M 'F m -3 m'
_symmetry_Int_Tables_number 225
_symmetry_space_group_name_Hall '-F 4 2 3'
loop_
_atom_site_label
_atom_site_fract_x
_atom_site_fract_y
_atom_site_fract_z
Mg1 0.0000 0.0000 0.0000
Bi1 0.0000 0.0000 0.5000
Cl1 0.2500 0.2500 0.2500
```

Values from the calculation:
- Volume: 24.9 Å³/atom

---

--- z ---
VASP calculation (GGA-PBE) on a geometry-optimized MgBiCl2 structure.

Cell and atoms, written as CIF:
```
data_MgBiCl2
_cell_length_a 7.3166
_cell_length_b 7.3166
_cell_length_c 9.8340
_cell_angle_alpha 90.00
_cell_angle_beta 90.00
_cell_angle_gamma 90.00
_symmetry_space_group_name_H-M 'I -4 2 d'
_symmetry_Int_Tables_number 122
_symmetry_space_group_name_Hall 'I -4 2bw'
loop_
_atom_site_label
_atom_site_fract_x
_atom_site_fract_y
_atom_site_fract_z
Mg1 0.0000 0.0000 0.0000
Bi1 0.0000 0.0000 0.5000
Cl1 0.1031 0.2500 0.1250
```

Values from the calculation:
- Volume: 32.9 Å³/atom

---

The structure with the most favorable energy is x; the runner-up is 0.507 eV/atom above it.